No. 1
Here is a geometry-optimized Hf4NiC2S structure from the Open Quantum Materials Database. Energies are from PBE.

## Properties
calculated volume = 119.3 Å³/cell
VASP energy = -9.436 eV/atom
M_tot = 0.00 μB per formula unit
symmetry = P-6m2 (187)

Unit cell a=3.330 b=3.330 c=12.423 alpha=90.00 beta=90.00 gamma=120.00
Fractional positions:
Hf 0.667 0.333 0.850
Hf 0.000 0.000 0.354
Hf 0.000 0.000 0.646
Hf 0.667 0.333 0.150
C 0.333 0.667 0.256
C 0.333 0.667 0.744
Ni 0.000 0.000 0.000
S 0.667 0.333 0.500



No. 2
Here is a geometry-optimized GdDyB2Ir2C2 structure from the Open Quantum Materials Database. Energies are from PBE.

## Properties
calculated volume = 109.4 Å³/cell
VASP energy = -7.831 eV/atom
M_tot = 0.00 μB per formula unit
symmetry = P4mm (99)

Unit cell a=3.745 b=3.745 c=7.799 alpha=90.00 beta=90.00 gamma=90.00
Fractional positions:
C 0.000 0.000 0.853
C 0.500 0.500 0.148
B 0.500 0.500 0.342
B 0.000 0.000 0.659
Gd 0.500 0.500 0.837
Ir 0.000 0.500 0.500
Ir 0.500 0.000 0.500
Dy 0.000 0.000 0.161



- What is the VASP energy in the second record?
  -7.831 eV/atom